A relaxed HoSiIr crystal, computed with PBE.

Cell lengths 6.8436, 4.2313, 7.4215 Å; angles 90.00, 90.00, 90.00 degrees
Sites, in units of the cell vectors:
1 Si 0.7022 0.7500 0.6098
2 Si 0.2978 0.2500 0.3902
3 Si 0.7978 0.2500 0.1098
4 Si 0.2022 0.7500 0.8902
5 Ir 0.6572 0.2500 0.4323
6 Ir 0.8428 0.7500 0.9323
7 Ir 0.3428 0.7500 0.5677
8 Ir 0.1572 0.2500 0.0677
9 Ho 0.0010 0.2500 0.6870
10 Ho 0.9990 0.7500 0.3130
11 Ho 0.5010 0.2500 0.8130
12 Ho 0.4990 0.7500 0.1870

## Properties
E_tot in eV/atom: -7.362
Calculated volume in Å³/cell: 214.9

A relaxed Ho2Si3Ir crystal, computed with PBE.

Cell lengths 8.1403, 8.1098, 5.7184 Å; angles 69.68, 69.11, 41.21 degrees
Sites, in units of the cell vectors:
1 Si 0.1670 0.1670 0.8330
2 Si 0.8345 0.3326 0.6674
3 Si 0.6674 0.1655 0.8345
4 Si 0.3326 0.8345 0.1655
5 Si 0.8330 0.8330 0.1670
6 Si 0.1655 0.6674 0.3326
7 Ir 0.6661 0.6661 0.3339
8 Ir 0.3339 0.3339 0.6661
9 Ho 0.7471 0.2529 0.2529
10 Ho 0.2500 0.2500 0.2500
11 Ho 0.2529 0.7471 0.7471
12 Ho 0.7500 0.7500 0.7500

## Properties
E_tot in eV/atom: -6.626
Calculated volume in Å³/cell: 230.4

A relaxed HoSiIr crystal, computed with PBE.

Cell lengths 4.4459, 4.4459, 4.4459 Å; angles 60.00, 60.00, 60.00 degrees
Sites, in units of the cell vectors:
1 Ir 0.0000 0.0000 0.0000
2 Ho 0.7500 0.7500 0.7500
3 Si 0.2500 0.2500 0.2500

## Properties
E_tot in eV/atom: -6.870
Calculated volume in Å³/cell: 62.1

A relaxed HoSiIr crystal, computed with PBE.

Cell lengths 4.1048, 4.1048, 7.9923 Å; angles 90.00, 90.00, 120.00 degrees
Sites, in units of the cell vectors:
1 Si 0.3333 0.6667 0.4995
2 Si 0.6667 0.3333 0.9995
3 Ir 0.3333 0.6667 0.0000
4 Ir 0.6667 0.3333 0.5000
5 Ho 0.0000 0.0000 0.2504
6 Ho 0.0000 0.0000 0.7504

## Properties
E_tot in eV/atom: -7.252
Calculated volume in Å³/cell: 116.6

A relaxed HoSiIr crystal, computed with PBE.

Cell lengths 4.6891, 4.6891, 5.6970 Å; angles 90.00, 90.00, 120.00 degrees
Sites, in units of the cell vectors:
1 Ir 0.0000 0.0000 0.5000
2 Ir 0.0000 0.0000 0.0000
3 Si 0.3333 0.6667 0.2500
4 Si 0.6667 0.3333 0.7500
5 Ho 0.6667 0.3333 0.2500
6 Ho 0.3333 0.6667 0.7500

## Properties
E_tot in eV/atom: -6.587
Calculated volume in Å³/cell: 108.5

A relaxed HoSiIr crystal, computed with PBE.

Cell lengths 7.8020, 7.8020, 3.0642 Å; angles 90.00, 90.00, 120.00 degrees
Sites, in units of the cell vectors:
1 Ir 0.0000 0.6028 0.5000
2 Ir 0.3972 0.3972 0.5000
3 Ir 0.6028 0.0000 0.5000
4 Ho 0.2872 0.0000 0.0000
5 Ho 0.0000 0.2872 0.0000
6 Ho 0.7128 0.7128 0.0000
7 Si 0.3333 0.6667 0.0000
8 Si 0.6667 0.3333 0.0000
9 Si 0.0000 0.0000 0.5000

## Properties
E_tot in eV/atom: -6.589
Calculated volume in Å³/cell: 161.5

A relaxed HoSiIr crystal, computed with PBE.

Cell lengths 6.8799, 6.8799, 3.9595 Å; angles 90.00, 90.00, 120.00 degrees
Sites, in units of the cell vectors:
1 Ho 0.0000 0.5837 0.5000
2 Ho 0.5837 0.0000 0.5000
3 Ho 0.4163 0.4163 0.5000
4 Ir 0.3333 0.6667 0.0000
5 Ir 0.6667 0.3333 0.0000
6 Ir 0.0000 0.0000 0.5000
7 Si 0.2418 0.0000 0.0000
8 Si 0.7582 0.7582 0.0000
9 Si 0.0000 0.2418 0.0000

## Properties
E_tot in eV/atom: -7.229
Calculated volume in Å³/cell: 162.3

A relaxed HoSiIr crystal, computed with PBE.

Cell lengths 6.8036, 6.8036, 3.9616 Å; angles 90.00, 90.00, 120.00 degrees
Sites, in units of the cell vectors:
1 Si 0.6667 0.3333 0.5000
2 Si 0.0000 0.0000 0.0000
3 Si 0.3333 0.6667 0.5000
4 Ho 0.4181 0.4181 0.0000
5 Ho 0.0000 0.5819 0.0000
6 Ho 0.5819 0.0000 0.0000
7 Ir 0.0000 0.2406 0.5000
8 Ir 0.2406 0.0000 0.5000
9 Ir 0.7594 0.7594 0.5000

## Properties
E_tot in eV/atom: -7.296
Calculated volume in Å³/cell: 158.8